Entry 1:
Material: Li2Sm3Hg6
Method: DFT, PBE-GGA
State: optimized geometry

The structure in POSCAR format:
```
Li2Sm3Hg6
1.0
-4.481 -0.380 -1.414
1.334 -2.939 -3.436
0.016 -7.779 9.893
Hg Li Sm
6 2 3
Direct
0.596 0.096 0.192
0.319 0.319 0.637
0.681 0.681 0.363
0.904 0.404 0.808
0.404 0.904 0.808
0.096 0.596 0.192
0.551 0.551 0.102
0.449 0.449 0.898
0.193 0.193 0.386
0.000 0.000 0.000
0.807 0.807 0.614
```

Calculated total energy ... -2.113 eV/atom
SG ... I4/mmm (139)
Formation energy from the elements ... -0.314 eV/atom
Total moment ... 0.0 Bohr magnetons per cell

Entry 2:
Material: Mg3Hg2Pt
Method: DFT, PBE-GGA
State: optimized geometry

The structure in POSCAR format:
```
Mg3Hg2Pt
1.0
-0.482 3.828 2.755
-7.017 -0.006 2.853
2.170 -3.562 5.329
Hg Pt Mg
4 2 6
Direct
0.000 0.000 0.000
0.000 0.000 0.500
0.665 0.670 0.500
0.335 0.330 0.500
0.339 0.321 0.000
0.661 0.679 0.000
0.500 0.000 0.234
0.176 0.648 0.778
0.824 0.352 0.778
0.176 0.648 0.222
0.824 0.352 0.222
0.500 0.000 0.766
```

Calculated total energy ... -2.341 eV/atom
SG ... P2/m (10)
Formation energy from the elements ... -0.436 eV/atom
Total moment ... 0.0 Bohr magnetons per cell

Entry 3:
Material: AcSm4Er8
Method: DFT, PBE-GGA
State: optimized geometry

The structure in POSCAR format:
```
AcSm4Er8
1.0
-2.568 6.577 -3.385
-1.868 -4.054 -6.434
-7.150 -1.306 2.913
Er Sm Ac
8 4 1
Direct
0.764 0.764 0.238
0.762 0.236 0.236
0.236 0.762 0.236
0.237 0.237 0.237
0.236 0.236 0.762
0.763 0.763 0.763
0.238 0.764 0.764
0.764 0.238 0.764
0.000 0.500 0.500
0.500 0.500 0.000
0.500 0.000 0.500
0.000 0.000 0.000
0.500 0.500 0.500
```

Calculated total energy ... -4.041 eV/atom
SG ... R-3m (166)
Formation energy from the elements ... 0.535 eV/atom
Total moment ... 2.4 Bohr magnetons per cell

Entry 4:
Material: Nd8HoTm6
Method: DFT, PBE-GGA
State: optimized geometry

The structure in POSCAR format:
```
Nd8HoTm6
1.0
6.533 0.000 0.000
0.000 8.140 -4.700
0.000 0.000 9.399
Nd Tm Ho
8 6 1
Direct
0.832 0.712 0.751
0.168 0.288 0.249
0.832 0.039 0.288
0.879 0.333 0.667
0.168 0.751 0.039
0.832 0.249 0.961
0.121 0.667 0.333
0.168 0.961 0.712
0.343 0.096 0.439
0.657 0.439 0.343
0.343 0.561 0.657
0.343 0.343 0.904
0.657 0.657 0.096
0.657 0.904 0.561
0.500 0.000 0.000
```

Calculated total energy ... -4.460 eV/atom
SG ... P-3 (147)
Formation energy from the elements ... 0.177 eV/atom
Total moment ... 0.0 Bohr magnetons per cell

Entry 5:
Material: ZrAlIr3
Method: DFT, PBE-GGA
State: optimized geometry

The structure in POSCAR format:
```
ZrAlIr3
1.0
-2.125 0.448 4.323
3.382 -2.852 1.958
2.730 3.882 0.940
Ir Zr Al
3 1 1
Direct
0.000 0.500 0.000
0.500 0.000 0.000
0.000 0.000 0.500
0.000 0.000 0.000
0.500 0.500 0.500
```

Calculated total energy ... -6.295 eV/atom
SG ... Pm-3m (221)
Formation energy from the elements ... 1.480 eV/atom
Total moment ... 0.0 Bohr magnetons per cell
Energy above the most stable polymorph in this dataset ... 1292.4 meV per atom

Entry 6:
Material: ZnIrI2O
Method: DFT, PBE-GGA
State: optimized geometry

The structure in POSCAR format:
```
ZnIrI2O
1.0
5.652 0.000 0.000
0.000 5.652 0.000
0.000 0.000 3.757
Ir I Zn O
1 2 1 1
Direct
0.000 0.000 0.000
0.500 0.000 0.000
0.000 0.500 0.000
0.500 0.500 0.500
0.000 0.000 0.500
```

Calculated total energy ... -3.617 eV/atom
SG ... P4/mmm (123)
Total moment ... 0.0 Bohr magnetons per cell
Energy above the most stable polymorph in this dataset ... 0.0 meV per atom
ΔE_f (raw) ... 0.109 eV/f.u.

Entry 7:
Material: La3Nd3TlHg2
Method: DFT, PBE-GGA
State: optimized geometry

The structure in POSCAR format:
```
La3Nd3TlHg2
1.0
-1.020 1.507 -3.432
-2.780 -8.313 -2.824
-5.919 5.641 4.236
Tl La Nd Hg
1 3 3 2
Direct
0.000 0.000 0.000
0.500 0.000 0.713
0.500 0.713 0.000
0.500 0.287 0.287
0.000 0.611 0.611
0.000 0.000 0.389
0.000 0.389 0.000
0.500 0.667 0.333
0.500 0.333 0.667
```

Calculated total energy ... -3.820 eV/atom
SG ... P-62m (189)
Formation energy from the elements ... -0.259 eV/atom
Total moment ... 0.0 Bohr magnetons per cell

Entry 8:
Material: TbTi2Ni9
Method: DFT, PBE-GGA
State: optimized geometry

The structure in POSCAR format:
```
TbTi2Ni9
1.0
-3.505 0.047 -3.288
-0.126 -3.368 -3.427
-5.594 -5.630 2.369
Ni Tb Ti
9 1 2
Direct
0.082 0.590 0.738
0.334 0.334 0.998
0.666 0.666 0.002
0.410 0.918 0.262
0.500 0.500 0.500
0.410 0.410 0.262
0.918 0.410 0.262
0.590 0.590 0.738
0.590 0.082 0.738
0.000 0.000 0.000
0.142 0.142 0.573
0.858 0.858 0.427
```

Calculated total energy ... -6.396 eV/atom
SG ... R-3m (166)
Formation energy from the elements ... -0.359 eV/atom
Total moment ... 0.0 Bohr magnetons per cell